1.
MnPb2W, optimized geometry, DFT PBE; DOS at the Fermi energy = 0.84 states/eV/atom; uncorrected energy = -0.472 Ry/atom; SG = I-4m2, No. 119; theoretical density = 13.17 g/cm³; E_form = 963.1 meV per atom; distance to the lowest polymorph of the same formula = 2.13 eV/f.u.
1.0
-5.0379 0.8139 2.2038
-3.4919 -4.3142 -0.3068
5.2484 0.7684 1.6623
Pb Mn W
2 1 1
Direct
0.0000 0.0000 0.0000
0.2500 0.7500 0.5000
0.7500 0.2500 0.5000
0.5000 0.5000 0.0000

2.
SrH4Br3, optimized geometry, DFT PBE; DOS at the Fermi energy = 0.01 states/eV/atom; uncorrected energy = -0.236 Ry/atom; SG = C2/m, No. 12; theoretical density = 3.04 g/cm³
1.0
-2.9914 1.7328 2.4248
-0.2246 -4.5579 2.9800
7.2956 7.1072 0.2448
Br H Sr
3 4 1
Direct
0.3635 0.7890 0.7269
0.5000 0.5000 0.0000
0.6365 0.2110 0.2731
0.1948 0.7611 0.3896
0.8250 0.1579 0.6500
0.1750 0.8421 0.3500
0.8052 0.2389 0.6104
0.0000 0.0000 0.0000

3.
Cs2SrHgBr6, optimized geometry, DFT PBE; DOS at the Fermi energy = 0.00 states/eV/atom; formation energy (no corrections) = -1.473 eV/atom; uncorrected energy = -0.209 Ry/atom; SG = Fm-3m, No. 225; theoretical density = 4.30 g/cm³; distance to the lowest polymorph of the same formula = 0.09 eV/f.u.
1.0
8.2636 0.0000 0.0000
0.0000 8.2636 0.0000
4.1318 4.1318 5.8477
Cs Br Sr Hg
2 6 1 1
Direct
0.2500 0.7500 0.5000
0.7500 0.2500 0.5000
0.7572 0.7572 0.4856
0.7574 0.2426 0.0000
0.2426 0.7574 0.0000
0.7574 0.7574 0.0000
0.2428 0.2428 0.5144
0.2426 0.2426 0.0000
0.5000 0.5000 0.0000
0.0000 0.0000 0.0000

4.
ErHfPd6, optimized geometry, DFT PBE; DOS at the Fermi energy = 0.51 states/eV/atom; uncorrected energy = -0.487 Ry/atom; SG = P4/mmm, No. 123; theoretical density = 12.26 g/cm³; E_form = -911.6 meV per atom
1.0
4.0537 0.0000 0.0000
0.0000 4.0537 0.0000
0.0000 0.0000 8.1155
Pd Hf Er
6 1 1
Direct
0.0000 0.5000 0.2591
0.5000 0.5000 0.0000
0.0000 0.5000 0.7409
0.5000 0.5000 0.5000
0.5000 0.0000 0.2591
0.5000 0.0000 0.7409
0.0000 0.0000 0.5000
0.0000 0.0000 0.0000

5.
KBiIr3, optimized geometry, DFT PBE; DOS at the Fermi energy = 0.98 states/eV/atom; uncorrected energy = -0.266 Ry/atom; SG = Pm-3m, No. 221; theoretical density = 12.33 g/cm³; E_form = 2693.9 meV per atom; distance to the lowest polymorph of the same formula = 5.21 eV/f.u.
1.0
4.8065 0.0000 0.0000
0.0000 4.8065 0.0000
0.0000 0.0000 4.8065
K Ir Bi
1 3 1
Direct
0.0000 0.0000 0.0000
0.0000 0.0000 0.5000
0.0000 0.5000 0.0000
0.5000 0.0000 0.0000
0.5000 0.5000 0.5000

6.
Te2BrN, optimized geometry, DFT PBE; DOS at the Fermi energy = 0.61 states/eV/atom; formation energy (no corrections) = 1.488 eV/atom; uncorrected energy = -0.190 Ry/atom; SG = Fm-3m, No. 225; theoretical density = 6.82 g/cm³; distance to the lowest polymorph of the same formula = 3.65 eV/f.u.
1.0
-0.2533 3.3317 3.6325
-4.0772 0.3355 2.7609
0.0809 -1.4732 4.7098
N Br Te
1 1 2
Direct
0.0000 0.0000 0.0000
0.5000 0.5000 0.5000
0.7500 0.7500 0.7500
0.2500 0.2500 0.2500

7.
HoTm2PaAs4, optimized geometry, DFT PBE; DOS at the Fermi energy = 0.67 states/eV/atom; uncorrected energy = -0.485 Ry/atom; SG = P2/m, No. 10; theoretical density = 8.97 g/cm³; E_form = -1395.0 meV per atom
1.0
4.0836 0.0000 0.0000
0.0000 7.0437 -0.1360
0.0000 2.4824 6.6047
Tm As Pa Ho
2 4 1 1
Direct
0.5000 0.0000 0.5000
0.0000 0.0000 0.0000
0.5000 0.7509 0.2475
0.0000 0.7520 0.7496
0.5000 0.2491 0.7525
0.0000 0.2480 0.2504
0.5000 0.5000 0.0000
0.0000 0.5000 0.5000